(1)
## Ga6IrPt (PBE)

Data for a relaxed Ga6IrPt crystal.

Lattice parameters (Å, degrees): 4.9999 5.5916 7.0574 66.05 77.35 56.23
Closest atoms and distances in Å follow each position.
Fractional positions:
Ir1 0.0000 0.0000 0.0000  6 Ga 2.49-2.52
Ga1 0.4197 0.6746 0.7961  1 Pt 2.52, 1 Ir 2.52, 3 Ga 2.66-2.73
Ga2 0.5803 0.3254 0.2039  1 Pt 2.52, 1 Ir 2.52, 3 Ga 2.66-2.73
Ga3 0.9566 0.5810 0.2957  1 Ir 2.51, 1 Pt 2.58, 3 Ga 2.66-2.72
Ga4 0.0434 0.4190 0.7043  1 Ir 2.51, 1 Pt 2.58, 3 Ga 2.66-2.72
Ga5 0.7201 0.9604 0.7718  1 Ir 2.49, 1 Pt 2.56, 2 Ga 2.68-2.72
Ga6 0.2799 0.0396 0.2282  1 Ir 2.49, 1 Pt 2.56, 2 Ga 2.68-2.72
Pt1 0.5000 0.5000 0.5000  6 Ga 2.52-2.58

Values from the calculation:
ΔH_f (0 K) (eV per atom): -0.29

=====

(2)
## GaIrPt (PBE)

Data for a relaxed GaIrPt crystal.

Lattice parameters (Å, degrees): 2.8601 2.8601 5.8072 104.26 104.26 90.00
Closest atoms and distances in Å follow each position.
Fractional positions:
Ga1 0.6707 0.6707 0.3413  4 Ir 2.60, 4 Pt 2.69, 4 Ga 2.86
Ir1 0.3211 0.3211 0.6423  4 Ga 2.60, 4 Ir 2.86, 4 Pt 2.87
Pt1 0.0082 0.0082 0.0164  4 Ga 2.69, 4 Pt 2.86, 4 Ir 2.87

Values from the calculation:
ΔH_f (0 K) (eV per atom): -0.26
Offset from the most stable computed form (kJ/mol of formula units): 0